(1)
DFT (PBE) results for an optimized crystal structure of LiHgPbF6.

The structure in CIF format:
```
data_LiHgPbF6
_chemical_formula_sum 'Li2 Hg2 Pb2 F12'
_symmetry_space_group_name_H-M 'P -3 1 c'
_symmetry_Int_Tables_number 163
_symmetry_space_group_name_Hall '-P 3 2c'
_cell_length_a 5.6363
_cell_length_b 5.6363
_cell_length_c 9.9356
_cell_angle_alpha 90.00
_cell_angle_beta 90.00
_cell_angle_gamma 120.00
loop_
_atom_site_label
_atom_site_fract_x
_atom_site_fract_y
_atom_site_fract_z
Li1 0.3333 0.6667 0.2500
Hg1 0.0000 0.0000 0.0000
Pb1 0.3333 0.6667 0.7500
F1 0.0226 0.3562 0.1336
```

Properties
The calculation puts the formation energy (no corrections) at -2.017 eV per atom. The volume comes out at 15.2 Å³/atom.

=====

(2)
DFT (PBE) results for an optimized crystal structure of YCd4Au2.

The structure in CIF format:
```
data_YCd4Au2
_chemical_formula_sum 'Y2 Cd8 Au4'
_symmetry_space_group_name_H-M 'P 42/m n m'
_symmetry_Int_Tables_number 136
_symmetry_space_group_name_Hall '-P 4n 2n'
_cell_length_a 8.564
_cell_length_b 8.564
_cell_length_c 4.359
_cell_angle_alpha 90.00
_cell_angle_beta 90.00
_cell_angle_gamma 90.00
loop_
_atom_site_label
_atom_site_fract_x
_atom_site_fract_y
_atom_site_fract_z
Y1 0.000 0.000 0.000
Cd1 0.106 0.351 0.500
Au1 0.169 0.831 0.500
```

Properties
Its formation energy is -0.338 eV/atom. The volume comes out at 22.8 Å³/atom.

=====

- Which formula does entry 2 have?
  YCd4Au2